Record 1
Here is a relaxed structure of CoCuBr6 from Alexandria. Energies are from PBE.

Calculated values
ΔE_f (raw)   -0.9 eV/f.u.
Total magnetic moment   1.900 μB/f.u.
E_tot   -22.183 eV/f.u.

Cell: 6.356 6.376 6.668 Å, 61.51 89.82 60.14°
Space group P-1 (No. 2)
Inequivalent atoms, fractional coordinates:
Co: 0.000 0.000 0.000 x1
Cu: 0.500 0.000 0.500 x1
Br: 0.088 0.521 0.244 x2
Br: 0.237 0.853 0.754 x2
Br: 0.391 0.845 0.246 x2



Record 2
Here is a relaxed structure of Tm3Mn5Te12 from Alexandria. Energies are from PBE.

Calculated values
ΔE_f (raw)   -9.9 eV/f.u.
Total magnetic moment   20.006 μB/f.u.
E_tot   -106.867 eV/f.u.

Cell: 16.898 16.898 16.898 Å, 90.00 90.00 90.00°
Space group Ia-3d (No. 230)
Inequivalent atoms, fractional coordinates:
Tm: 0.000 0.250 0.125 x24
Mn: 0.000 0.000 0.000 x16
Mn: 0.000 0.250 0.375 x24
Te: 0.025 0.062 0.650 x96



Record 3
Here is a relaxed structure of SmTm8Mg2 from Alexandria. Energies are from PBE.

Calculated values
ΔH_f (0 K)   0.162 eV per atom
Total magnetic moment   0.001 μB/f.u.
E_tot   -41.900 eV/f.u.

Cell: 8.640 15.276 5.571 Å, 90.00 114.99 90.00°
Space group C2/m (No. 12)
Inequivalent atoms, fractional coordinates:
Sm: 0.000 0.000 0.000 x2
Tm: 0.000 0.215 0.000 x4
Tm: 0.093 0.500 0.798 x4
Tm: 0.209 0.112 0.630 x8
Mg: 0.000 0.307 0.500 x4



Record 4
Here is a relaxed structure of MgGa2Ag from Alexandria. Energies are from PBE.

Calculated values
ΔH_f (0 K)   0.055 eV per atom
Total magnetic moment   0.000 μB/f.u.
E_tot   -10.279 eV/f.u.

Cell: 7.708 7.708 5.541 Å, 90.00 90.00 90.00°
Space group I-42d (No. 122)
Inequivalent atoms, fractional coordinates:
Mg: 0.000 0.000 0.000 x4
Ga: 0.223 0.250 0.625 x8
Ag: 0.000 0.000 0.500 x4



Record 5
Here is a relaxed structure of LiPt2Cl from Alexandria. Energies are from PBE.

Calculated values
ΔE_f (raw)   -0.7 eV/f.u.
Energy relative to the lowest polymorph listed for this composition   0.151 eV per atom
Total magnetic moment   0.014 μB/f.u.
E_tot   -16.576 eV/f.u.

Cell: 3.562 3.562 6.996 Å, 90.00 90.00 90.00°
Space group P4/mmm (No. 123)
Inequivalent atoms, fractional coordinates:
Li: 0.000 0.000 0.000 x1
Pt: 0.000 0.500 0.500 x2
Cl: 0.500 0.500 0.000 x1



Record 6
Here is a relaxed structure of CsNpPaN4 from Alexandria. Energies are from PBE.

Calculated values
ΔE_f (raw)   -5.6 eV/f.u.
Total magnetic moment   1.004 μB/f.u.
E_tot   -62.171 eV/f.u.

Cell: 6.298 6.200 8.173 Å, 90.00 104.37 90.00°
Space group P2_1/m (No. 11)
Inequivalent atoms, fractional coordinates:
Cs: 0.126 0.250 0.126 x2
Np: 0.408 0.250 0.704 x2
Pa: 0.160 0.750 0.474 x2
N: 0.149 0.037 0.651 x4
N: 0.277 0.750 0.223 x2
N: 0.485 0.250 0.470 x2